Record 1
Material: MgNbZn2Ge
Method: DFT, GGA-PBE
State: relaxed

a b c (Å): 5.017 5.017 4.964
angles (deg): 90.00 90.00 90.00
Space group P4/mmm (No. 123)
Asymmetric unit:
1 Mg 0.000 0.000 0.000 (multiplicity 1)
2 Nb 0.500 0.500 0.500 (multiplicity 1)
3 Zn 0.000 0.500 0.500 (multiplicity 2)
4 Ge 0.500 0.500 0.000 (multiplicity 1)

spin magnetization = 0.0019 μB/atom
energy relative to the lowest polymorph listed for this composition = 0.000 eV per atom
ΔH_f (0 K) = 0.643 eV/atom
ρ = 4.3 g/cm3
D(E_F) = 4.010 states/eV/f.u.

Record 2
Material: Na6TlGa2
Method: DFT, GGA-PBE
State: relaxed

a b c (Å): 18.073 12.442 4.524
angles (deg): 90.00 90.00 90.00
Space group Cmcm (No. 63)
Asymmetric unit:
1 Na 0.089 0.095 0.250 (multiplicity 8)
2 Na 0.101 0.390 0.250 (multiplicity 8)
3 Na 0.196 0.199 0.750 (multiplicity 8)
4 Tl 0.000 0.249 0.750 (multiplicity 4)
5 Ga 0.237 0.453 0.750 (multiplicity 8)

spin magnetization = 0.0000 μB/atom
ΔH_f (0 K) = -0.044 eV/atom
ρ = 3.1 g/cm3
D(E_F) = 4.368 states/eV/f.u.

Record 3
Material: DyTlGa4
Method: DFT, GGA-PBE
State: relaxed

a b c (Å): 7.969 7.969 7.969
angles (deg): 90.00 90.00 90.00
Space group F-43m (No. 216)
Asymmetric unit:
1 Dy 0.000 0.000 0.000 (multiplicity 4)
2 Tl 0.250 0.250 0.750 (multiplicity 4)
3 Ga 0.125 0.125 0.375 (multiplicity 16)

spin magnetization = 0.0000 μB/atom
ΔH_f (0 K) = -0.196 eV/atom
ρ = 8.5 g/cm3
D(E_F) = 4.524 states/eV/f.u.

Record 4
Material: HfCuSiAs
Method: DFT, GGA-PBE
State: relaxed

a b c (Å): 3.649 3.649 9.673
angles (deg): 90.00 90.00 90.00
Space group P4/nmm (No. 129, origin choice 2)
Asymmetric unit:
1 Hf 0.250 0.250 0.219 (multiplicity 2)
2 Cu 0.250 0.750 0.500 (multiplicity 2)
3 Si 0.250 0.750 0.000 (multiplicity 2)
4 As 0.250 0.250 0.682 (multiplicity 2)

spin magnetization = 0.0000 μB/atom
ρ = 8.9 g/cm3
formation energy (no corrections) = -544 meV per atom
D(E_F) = 0.153 states/eV/f.u.

Record 5
Material: LaMg2Cd4In
Method: DFT, GGA-PBE
State: relaxed

a b c (Å): 5.0364 5.0364 27.3717
angles (deg): 90.00 90.00 120.00
Space group R-3m (No. 166, hexagonal axes)
Asymmetric unit:
1 La 0.0000 0.0000 0.0000 (multiplicity 3)
2 Mg 0.0000 0.0000 0.2509 (multiplicity 6)
3 Cd 0.0000 0.0000 0.1233 (multiplicity 6)
4 Cd 0.0000 0.0000 0.3885 (multiplicity 6)
5 In 0.0000 0.0000 0.5000 (multiplicity 3)

spin magnetization = 0.0000 μB/atom
ΔH_f (0 K) = -0.171 eV/atom
ρ = 6.2 g/cm3
D(E_F) = 2.841 states/eV/f.u.

Record 6
Material: Ca4HgN
Method: DFT, GGA-PBE
State: relaxed

a b c (Å): 9.660 15.488 6.833
angles (deg): 90.00 134.82 90.00
Space group C2/c (No. 15)
Asymmetric unit:
1 Ca 0.137 0.199 0.139 (multiplicity 8)
2 Ca 0.248 0.051 0.635 (multiplicity 8)
3 Hg 0.000 0.375 0.750 (multiplicity 4)
4 N 0.000 0.124 0.250 (multiplicity 4)

spin magnetization = 0.0000 μB/atom
energy relative to the lowest polymorph listed for this composition = 0.028 eV per atom
ρ = 3.4 g/cm3
formation energy (no corrections) = -511 meV per atom
D(E_F) = 3.974 states/eV/f.u.

Record 7
Material: BeVCrTc2
Method: DFT, GGA-PBE
State: relaxed

a b c (Å): 4.392 4.392 4.067
angles (deg): 90.00 90.00 90.00
Space group P4/mmm (No. 123)
Asymmetric unit:
1 Be 0.000 0.000 0.000 (multiplicity 1)
2 V 0.000 0.000 0.500 (multiplicity 1)
3 Cr 0.500 0.500 0.000 (multiplicity 1)
4 Tc 0.000 0.500 0.500 (multiplicity 2)

spin magnetization = 0.0680 μB/atom
ΔH_f (0 K) = 1.483 eV/atom
ρ = 6.5 g/cm3
D(E_F) = 7.177 states/eV/f.u.

Record 8
Material: SrLa2Ni
Method: DFT, GGA-PBE
State: relaxed

a b c (Å): 6.517 11.492 3.679
angles (deg): 90.00 117.58 90.00
Space group C2/m (No. 12)
Asymmetric unit:
1 Sr 0.000 0.000 0.000 (multiplicity 2)
2 La 0.250 0.250 0.500 (multiplicity 4)
3 Ni 0.000 0.500 0.000 (multiplicity 2)

spin magnetization = 0.0000 μB/atom
energy relative to the lowest polymorph listed for this composition = 0.500 eV per atom
ΔH_f (0 K) = 0.393 eV/atom
ρ = 5.8 g/cm3
D(E_F) = 5.369 states/eV/f.u.

Record 9
Material: Cd3Hg2Pd8
Method: DFT, GGA-PBE
State: relaxed

a b c (Å): 5.2802 5.2802 30.4338
angles (deg): 90.00 90.00 120.00
Space group R-3m (No. 166, hexagonal axes)
Asymmetric unit:
1 Cd 0.0000 0.0000 0.0000 (multiplicity 3)
2 Cd 0.0000 0.0000 0.1839 (multiplicity 6)
3 Hg 0.0000 0.0000 0.3614 (multiplicity 6)
4 Pd 0.0000 0.0000 0.2731 (multiplicity 6)
5 Pd 0.0013 0.5006 0.7713 (multiplicity 18)

spin magnetization = 0.0000 μB/atom
ΔH_f (0 K) = -0.032 eV/atom
ρ = 10.8 g/cm3
D(E_F) = 8.152 states/eV/f.u.

Record 10
Material: KCa
Method: DFT, GGA-PBE
State: relaxed

a b c (Å): 7.835 7.835 7.835
angles (deg): 90.00 90.00 90.00
Space group Fm-3m (No. 225)
Asymmetric unit:
1 K 0.000 0.000 0.000 (multiplicity 4)
2 Ca 0.000 0.000 0.500 (multiplicity 4)

spin magnetization = 0.0000 μB/atom
ΔH_f (0 K) = 0.499 eV/atom
ρ = 1.1 g/cm3
D(E_F) = 2.597 states/eV/f.u.

Record 11
Material: AcGa4Pd12
Method: DFT, GGA-PBE
State: relaxed

a b c (Å): 8.597 8.597 8.597
angles (deg): 90.00 90.00 90.00
Space group Im-3 (No. 204)
Asymmetric unit:
1 Ac 0.000 0.000 0.000 (multiplicity 2)
2 Ga 0.250 0.250 0.250 (multiplicity 8)
3 Pd 0.000 0.159 0.345 (multiplicity 24)

spin magnetization = 0.0000 μB/atom
ΔH_f (0 K) = -0.276 eV/atom
ρ = 9.3 g/cm3
D(E_F) = 7.079 states/eV/f.u.

Record 12
Material: Sc3ReCl
Method: DFT, GGA-PBE
State: relaxed

a b c (Å): 4.654 4.654 4.654
angles (deg): 90.00 90.00 90.00
Space group Pm-3m (No. 221)
Asymmetric unit:
1 Sc 0.000 0.000 0.500 (multiplicity 3)
2 Re 0.500 0.500 0.500 (multiplicity 1)
3 Cl 0.000 0.000 0.000 (multiplicity 1)

spin magnetization = 0.0001 μB/atom
energy relative to the lowest polymorph listed for this composition = 0.000 eV per atom
ρ = 5.9 g/cm3
formation energy (no corrections) = 89 meV per atom
D(E_F) = 5.442 states/eV/f.u.